Model P:
A plane-wave DFT calculation with GGA-PBE was carried out for EuErPt after structural relaxation.

a = 6.9650 Å, b = 6.9650 Å, c = 6.9650 Å
α = 90.00°, β = 90.00°, γ = 90.00°
With the nearest neighbours (Å) after each atom.
Space group F-43m (No. 216)
Inequivalent atoms, fractional coordinates:
1 Eu 0.0000 0.0000 0.0000 [4 per cell]  4 Pt 3.02
2 Er 0.0000 0.0000 0.5000 [4 per cell]  4 Pt 3.02
3 Pt 0.2500 0.2500 0.2500 [4 per cell]  4 Er 3.02, 4 Eu 3.02

Output
total moment	7.25	μB per formula unit
density of states at the Fermi level	10.038	states/eV/cell


Model Q:
A plane-wave DFT calculation with GGA-PBE was carried out for EuErPt after structural relaxation.

a = 4.1557 Å, b = 4.1557 Å, c = 6.4047 Å
α = 90.00°, β = 90.00°, γ = 120.00°
With the nearest neighbours (Å) after each atom.
Space group P3m1 (No. 156)
Inequivalent atoms, fractional coordinates:
1 Eu 0.0000 0.0000 0.0000 [1 per cell]  3 Pt 2.97
2 Er 0.6667 0.3333 0.5176 [1 per cell]  3 Pt 2.75
3 Pt 0.3333 0.6667 0.7259 [1 per cell]  3 Er 2.75, 3 Eu 2.97

Output
total moment	7.31	μB per formula unit
density of states at the Fermi level	10.013	states/eV/cell


Calculated relative energies: model P 0.000; model Q 0.022, given in eV/atom


Model P:
A plane-wave DFT calculation with GGA-PBE was carried out for EuEr2S4 after structural relaxation.

a = 11.8714 Å, b = 3.9420 Å, c = 14.1891 Å
α = 90.00°, β = 90.00°, γ = 90.00°
With the nearest neighbours (Å) after each atom.
Space group Pnma (No. 62)
Inequivalent atoms, fractional coordinates:
1 Eu 0.2422 0.2500 0.1624 [4 per cell]  8 S 3.03-3.27
2 Er 0.0669 0.2500 0.3893 [4 per cell]  6 S 2.69-2.74
3 Er 0.0820 0.2500 0.9001 [4 per cell]  6 S 2.66-2.75
4 S 0.0238 0.7500 0.7844 [4 per cell]  3 Er 2.66-2.69
5 S 0.0879 0.2500 0.5788 [4 per cell]  3 Er 2.70-2.73
6 S 0.1314 0.7500 0.0288 [4 per cell]  3 Er 2.73-2.75, 2 Eu 3.03
7 S 0.2070 0.7500 0.3231 [4 per cell]  3 Er 2.73-2.74, 2 Eu 3.04

Output
total moment	6.99	μB per formula unit
density of states at the Fermi level	82.325	states/eV/cell


Model Q:
A plane-wave DFT calculation with GGA-PBE was carried out for EuEr2S4 after structural relaxation.

a = 8.4152 Å, b = 8.4152 Å, c = 8.3771 Å
α = 90.00°, β = 90.00°, γ = 90.00°
With the nearest neighbours (Å) after each atom.
Space group I-42d (No. 122)
Inequivalent atoms, fractional coordinates:
1 Eu 0.0000 0.0000 0.0000 [4 per cell]  8 S 2.86-3.06
2 Er 0.1196 0.7500 0.6250 [8 per cell]  6 S 2.72-2.94
3 S 0.0724 0.6742 0.9371 [16 per cell]  3 Er 2.72-2.94, 1 Eu 2.86

Output
total moment	7.00	μB per formula unit
density of states at the Fermi level	20.750	states/eV/cell


Calculated relative energies: model P 0.000; model Q 0.064, given in eV/atom


Model P:
A plane-wave DFT calculation with GGA-PBE was carried out for EuEr2Sc after structural relaxation.

a = 3.4476 Å, b = 3.4476 Å, c = 36.3976 Å
α = 90.00°, β = 90.00°, γ = 120.00°
With the nearest neighbours (Å) after each atom.
Space group R-3m (No. 166, hexagonal axes)
Inequivalent atoms, fractional coordinates:
1 Eu 0.0000 0.0000 0.0000 [3 per cell]  2 Er 3.41, 6 Eu 3.45
2 Er 0.0000 0.0000 0.0938 [6 per cell]  3 Sc 3.32, 1 Eu 3.41, 6 Er 3.45
3 Sc 0.0000 0.0000 0.5000 [3 per cell]  6 Er 3.32, 6 Sc 3.45

Output
total moment	7.86	μB per formula unit
density of states at the Fermi level	15.942	states/eV/cell


Model Q:
A plane-wave DFT calculation with GGA-PBE was carried out for EuEr2Sc after structural relaxation.

a = 5.6869 Å, b = 5.6869 Å, c = 3.7896 Å
α = 90.00°, β = 90.00°, γ = 90.00°
With the nearest neighbours (Å) after each atom.
Space group P4/mmm (No. 123)
Inequivalent atoms, fractional coordinates:
1 Eu 0.0000 0.0000 0.0000 [1 per cell]  8 Er 3.42, 2 Eu 3.79
2 Er 0.0000 0.5000 0.5000 [2 per cell]  4 Sc 3.42, 4 Eu 3.42, 2 Er 3.79
3 Sc 0.5000 0.5000 0.0000 [1 per cell]  8 Er 3.42, 2 Sc 3.79

Output
total moment	8.25	μB per formula unit
density of states at the Fermi level	7.639	states/eV/cell


Calculated relative energies: model P 0.000; model Q 0.015, given in eV/atom


Model P:
A plane-wave DFT calculation with GGA-PBE was carried out for EuEr2Sc after structural relaxation.

a = 3.5572 Å, b = 3.5572 Å, c = 9.8000 Å
α = 90.00°, β = 90.00°, γ = 90.00°
With the nearest neighbours (Å) after each atom.
Space group P4/mmm (No. 123)
Inequivalent atoms, fractional coordinates:
1 Eu 0.0000 0.0000 0.0000 [1 per cell]  4 Eu 3.56, 8 Er 3.72
2 Er 0.5000 0.5000 0.2796 [2 per cell]  4 Sc 3.32, 4 Er 3.56
3 Sc 0.0000 0.0000 0.5000 [1 per cell]  8 Er 3.32, 4 Sc 3.56

Output
total moment	7.48	μB per formula unit
density of states at the Fermi level	6.078	states/eV/cell


Model Q:
A plane-wave DFT calculation with GGA-PBE was carried out for EuEr2Sc after structural relaxation.

a = 7.8901 Å, b = 7.8901 Å, c = 7.8901 Å
α = 90.00°, β = 90.00°, γ = 90.00°
With the nearest neighbours (Å) after each atom.
Space group Fm-3m (No. 225)
Inequivalent atoms, fractional coordinates:
1 Eu 0.0000 0.0000 0.0000 [4 per cell]  8 Er 3.42
2 Er 0.2500 0.2500 0.2500 [8 per cell]  4 Sc 3.42, 4 Eu 3.42
3 Sc 0.0000 0.0000 0.5000 [4 per cell]  8 Er 3.42

Output
total moment	8.19	μB per formula unit
density of states at the Fermi level	30.909	states/eV/cell


Calculated relative energies: model P 0.000; model Q 0.101, given in eV/atom


Model P:
A plane-wave DFT calculation with GGA-PBE was carried out for EuErSc2 after structural relaxation.

a = 3.3462 Å, b = 3.3462 Å, c = 36.3121 Å
α = 90.00°, β = 90.00°, γ = 120.00°
With the nearest neighbours (Å) after each atom.
Space group R-3m (No. 166, hexagonal axes)
Inequivalent atoms, fractional coordinates:
1 Eu 0.0000 0.0000 0.0000 [3 per cell]  6 Eu 3.35, 6 Sc 3.49
2 Er 0.0000 0.0000 0.5000 [3 per cell]  2 Sc 3.15, 6 Er 3.35
3 Sc 0.0000 0.0000 0.4133 [6 per cell]  1 Er 3.15, 6 Sc 3.35, 3 Eu 3.49

Output
total moment	8.70	μB per formula unit
density of states at the Fermi level	20.941	states/eV/cell


Model Q:
A plane-wave DFT calculation with GGA-PBE was carried out for EuErSc2 after structural relaxation.

a = 3.5057 Å, b = 3.5057 Å, c = 9.5244 Å
α = 90.00°, β = 90.00°, γ = 90.00°
With the nearest neighbours (Å) after each atom.
Space group P4/mmm (No. 123)
Inequivalent atoms, fractional coordinates:
1 Eu 0.0000 0.0000 0.0000 [1 per cell]  4 Eu 3.51, 8 Sc 3.55
2 Er 0.0000 0.0000 0.5000 [1 per cell]  8 Sc 3.33, 4 Er 3.51
3 Sc 0.5000 0.5000 0.2669 [2 per cell]  4 Er 3.33, 4 Sc 3.51, 4 Eu 3.55

Output
total moment	8.07	μB per formula unit
density of states at the Fermi level	6.238	states/eV/cell


Model R:
A plane-wave DFT calculation with GGA-PBE was carried out for EuErSc2 after structural relaxation.

a = 5.4609 Å, b = 5.4609 Å, c = 3.8569 Å
α = 90.00°, β = 90.00°, γ = 90.00°
With the nearest neighbours (Å) after each atom.
Space group P4/mmm (No. 123)
Inequivalent atoms, fractional coordinates:
1 Eu 0.0000 0.0000 0.0000 [1 per cell]  8 Sc 3.34
2 Er 0.5000 0.5000 0.0000 [1 per cell]  8 Sc 3.34
3 Sc 0.0000 0.5000 0.5000 [2 per cell]  4 Er 3.34, 4 Eu 3.34

Output
total moment	6.85	μB per formula unit
density of states at the Fermi level	6.968	states/eV/cell


Calculated relative energies: model P 0.217; model Q 0.000; model R 0.048, given in eV/atom


Model P:
A plane-wave DFT calculation with GGA-PBE was carried out for EuErSi after structural relaxation.

a = 7.0158 Å, b = 7.0158 Å, c = 7.0158 Å
α = 90.00°, β = 90.00°, γ = 90.00°
With the nearest neighbours (Å) after each atom.
Space group F-43m (No. 216)
Inequivalent atoms, fractional coordinates:
1 Eu 0.0000 0.0000 0.0000 [4 per cell]  4 Si 3.04
2 Er 0.0000 0.0000 0.5000 [4 per cell]  4 Si 3.04
3 Si 0.2500 0.2500 0.7500 [4 per cell]  4 Er 3.04, 4 Eu 3.04

Output
total moment	7.47	μB per formula unit
density of states at the Fermi level	27.441	states/eV/cell


Model Q:
A plane-wave DFT calculation with GGA-PBE was carried out for EuErSi after structural relaxation.

a = 3.8196 Å, b = 3.8196 Å, c = 10.8864 Å
α = 90.00°, β = 90.00°, γ = 90.00°
With the nearest neighbours (Å) after each atom.
Space group I4mm (No. 107)
Inequivalent atoms, fractional coordinates:
1 Eu 0.0000 0.0000 0.0000 [2 per cell]  1 Er 3.03, 4 Si 3.30
2 Er 0.0000 0.0000 0.2786 [2 per cell]  4 Si 2.93, 1 Eu 3.03
3 Si 0.0000 0.0000 0.6737 [2 per cell]  4 Er 2.93

Output
total moment	8.10	μB per formula unit
density of states at the Fermi level	7.268	states/eV/cell


Calculated relative energies: model P 0.000; model Q 0.115, given in eV/atom